(1)
Below is an optimized crystal structure of Ca2HRhSe, with properties calculated at the GGA-PBE level.

Computed properties:
total energy: -4.5399 eV per atom

Lattice parameters (Å, degrees): 5.074 5.074 3.557 90.00 90.00 90.00
Space group P4/mmm (No. 123)
Unique sites:
Ca 0.000 0.500 0.000 [2 per cell]
H 0.000 0.000 0.000 [1 per cell]
Rh 0.000 0.000 0.500 [1 per cell]
Se 0.500 0.500 0.500 [1 per cell]

---

(2)
Below is an optimized crystal structure of CaSiHRh2, with properties calculated at the GGA-PBE level.

Computed properties:
total energy: -5.8190 eV per atom

Lattice parameters (Å, degrees): 3.670 11.224 6.994 90.00 90.00 90.00
Space group Cmcm (No. 63)
Unique sites:
Ca 0.000 0.047 0.250 [4 per cell]
Si 0.000 0.221 0.750 [4 per cell]
H 0.000 0.500 0.000 [4 per cell]
Rh 0.000 0.342 0.045 [8 per cell]

---

(3)
Below is an optimized crystal structure of CaSmH6Rh2, with properties calculated at the GGA-PBE level.

Computed properties:
total energy: -4.5125 eV per atom

Lattice parameters (Å, degrees): 4.8865 4.8865 15.5049 90.00 90.00 120.00
Space group R-3m (No. 166, hexagonal axes)
Unique sites:
Ca 0.0000 0.0000 0.0000 [3 per cell]
Sm 0.0000 0.0000 0.5000 [3 per cell]
H 0.0296 0.5148 0.4431 [18 per cell]
Rh 0.0000 0.0000 0.2901 [6 per cell]

---

(4)
Below is an optimized crystal structure of CaSn2HRh, with properties calculated at the GGA-PBE level.

Computed properties:
total energy: -4.3037 eV per atom

Lattice parameters (Å, degrees): 5.397 5.397 3.499 90.00 90.00 90.00
Space group P4/mmm (No. 123)
Unique sites:
Ca 0.000 0.000 0.000 [1 per cell]
Sn 0.000 0.500 0.500 [2 per cell]
H 0.500 0.500 0.000 [1 per cell]
Rh 0.500 0.500 0.500 [1 per cell]

---

(5)
Below is an optimized crystal structure of CaSnH6Rh2, with properties calculated at the GGA-PBE level.

Computed properties:
total energy: -4.4009 eV per atom

Lattice parameters (Å, degrees): 4.5261 4.5261 17.1683 90.00 90.00 120.00
Space group R-3m (No. 166, hexagonal axes)
Unique sites:
Ca 0.0000 0.0000 0.0000 [3 per cell]
Sn 0.0000 0.0000 0.5000 [3 per cell]
H 0.0197 0.5098 0.9439 [18 per cell]
Rh 0.0000 0.0000 0.2154 [6 per cell]

---

(6)
Below is an optimized crystal structure of SrCa2H6Rh, with properties calculated at the GGA-PBE level.

Computed properties:
total energy: -3.7651 eV per atom

Lattice parameters (Å, degrees): 5.0239 5.0239 6.6967 90.00 90.00 120.00
Space group P-3m1 (No. 164)
Unique sites:
Sr 0.0000 0.0000 0.0000 [1 per cell]
Ca 0.3333 0.6667 0.3490 [2 per cell]
H 0.1599 0.3197 0.6523 [6 per cell]
Rh 0.0000 0.0000 0.5000 [1 per cell]